BiTeO2 PBE relaxed; magnetic moment = 0.00 μB per cell; V = 139.6 Å³/cell; formation energy (no corrections) = -367 meV per atom; offset from the most stable computed form = 0.361 eV/atom
1.0
-3.285 3.285 3.235
3.285 -3.285 3.235
3.285 3.285 -3.235
Bi Te O
2 2 4
direct
0.000 0.000 0.000
0.750 0.250 0.500
0.250 0.750 0.500
0.500 0.500 0.000
0.127 0.625 0.002
0.375 0.377 0.502
0.623 0.125 0.998
0.875 0.873 0.498